(1)
# PmCdNi

A relaxed PmCdNi crystal (PBE-GGA, Alexandria).

Lattice parameters (Å, degrees): 4.5716 4.5716 3.6678 90.00 90.00 120.00
Closest atoms and distances in Å follow each position.
Fractional coordinates of all 3 atoms:
Pm1 0.0000 0.0000 0.0000  6 Ni 3.21, 6 Cd 3.21
Cd1 0.6667 0.3333 0.5000  3 Ni 2.64
Ni1 0.3333 0.6667 0.5000  3 Cd 2.64

Summary:
* ΔE_f: -19.1 kJ per mole of atoms
* space-group type: No. 187
* crystal system: hexagonal
* DOS(E_F): 3.226 states/eV/cell
* E above lowest polymorph: 0.44 eV per formula unit


(2)
# RbPrTeI

A relaxed RbPrTeI crystal (PBE-GGA, Alexandria).

Lattice parameters (Å, degrees): 9.3678 9.3678 9.3678 28.14 28.14 28.14
Closest atoms and distances in Å follow each position.
Fractional coordinates of all 4 atoms:
Rb1 0.0000 0.0000 0.0000  3 Te 3.52, 3 I 3.83
Pr1 0.1808 0.1808 0.1808  3 Te 3.17, 3 I 3.36
Te1 0.5798 0.5798 0.5798  3 Pr 3.17, 3 Rb 3.52
I1 0.7697 0.7697 0.7697  3 Pr 3.36

Summary:
* space-group type: No. 160
* crystal system: trigonal
* formation energy without anion corrections: -119 kJ per mole of atoms
* DOS(E_F): 2.820 states/eV/cell


(3)
# PuAl2AgAu2

A relaxed PuAl2AgAu2 crystal (PBE-GGA, Alexandria).

Lattice parameters (Å, degrees): 4.4674 4.4674 6.8970 90.00 90.00 120.00
Closest atoms and distances in Å follow each position.
Fractional coordinates of all 6 atoms:
Pu1 0.0000 0.0000 0.0000  6 Au 3.18, 6 Al 3.40, 2 Ag 3.45
Al1 0.3333 0.6667 0.6792  4 Au 2.60-2.83, 3 Ag 2.86
Al2 0.6667 0.3333 0.3208  4 Au 2.60-2.83, 3 Ag 2.86
Ag1 0.0000 0.0000 0.5000  6 Al 2.86, 6 Au 3.03
Au1 0.3333 0.6667 0.2686  4 Al 2.60-2.83
Au2 0.6667 0.3333 0.7314  4 Al 2.60-2.83

Summary:
* ΔE_f: -35.5 kJ per mole of atoms
* space-group type: No. 164
* crystal system: trigonal
* DOS(E_F): 15.002 states/eV/cell


(4)
# Sn6TeSe2S3

A relaxed Sn6TeSe2S3 crystal (PBE-GGA, Alexandria).

Lattice parameters (Å, degrees): 9.4885 9.4885 8.6128 101.97 101.97 25.76
Closest atoms and distances in Å follow each position.
Fractional coordinates of all 12 atoms:
Sn1 0.0023 0.0023 0.2307  3 S 2.80-2.90, 1 Se 3.14
Sn2 0.3259 0.3259 0.4107  2 Se 2.88, 3 S 3.06-3.21, 1 Te 3.15
Sn3 0.3367 0.3367 0.9066  3 S 2.80-2.96, 1 Se 3.01
Sn4 0.6633 0.6633 0.0934  3 S 2.80-2.96, 1 Se 3.01
Sn5 0.6741 0.6741 0.5893  2 Se 2.88, 3 S 3.06-3.21, 1 Te 3.15
Sn6 0.9977 0.9977 0.7693  3 S 2.80-2.90, 1 Se 3.14
Te1 0.5000 0.5000 0.5000  6 Sn 3.15
Se1 0.1707 0.1707 0.8137  4 Sn 2.88-3.14
Se2 0.8293 0.8293 0.1863  4 Sn 2.88-3.14
S1 0.1574 0.1574 0.3030  4 Sn 2.80-3.06
S2 0.5000 0.5000 0.0000  6 Sn 2.90-2.96
S3 0.8426 0.8426 0.6970  4 Sn 2.80-3.06

Summary:
* space-group type: No. 12
* crystal system: monoclinic
* formation energy without anion corrections: -37 kJ per mole of atoms
* DOS(E_F): 0.323 states/eV/cell


(5)
# MnCuS2

A relaxed MnCuS2 crystal (PBE-GGA, Alexandria).

Lattice parameters (Å, degrees): 7.1475 7.1475 10.4373 90.00 90.00 90.00
Closest atoms and distances in Å follow each position.
Fractional coordinates of all 32 atoms:
Mn1 0.0259 0.7500 0.1435  4 S 2.12-2.20
Mn2 0.2500 0.5259 0.3565  4 S 2.12-2.20
Mn3 0.2500 0.9741 0.3565  4 S 2.12-2.20
Mn4 0.4741 0.7500 0.1435  4 S 2.12-2.20
Mn5 0.5259 0.2500 0.8565  4 S 2.12-2.20
Mn6 0.7500 0.0259 0.6435  4 S 2.12-2.20
Mn7 0.7500 0.4741 0.6435  4 S 2.12-2.20
Mn8 0.9741 0.2500 0.8565  4 S 2.12-2.20
Cu1 0.0263 0.2500 0.1100  4 S 2.29-2.34
Cu2 0.2500 0.0263 0.6100  4 S 2.29-2.34
Cu3 0.2500 0.4737 0.6100  4 S 2.29-2.34
Cu4 0.4737 0.2500 0.1100  4 S 2.29-2.34
Cu5 0.5263 0.7500 0.8900  4 S 2.29-2.34
Cu6 0.7500 0.5263 0.3900  4 S 2.29-2.34
Cu7 0.7500 0.9737 0.3900  4 S 2.29-2.34
Cu8 0.9737 0.7500 0.8900  4 S 2.29-2.34
S1 0.0049 0.5049 0.7500  2 Mn 2.15, 2 Cu 2.29
S2 0.0049 0.9951 0.7500  2 Mn 2.15, 2 Cu 2.29
S3 0.2500 0.2500 0.4505  2 Mn 2.20, 2 Cu 2.31
S4 0.2500 0.2500 0.9505  2 Mn 2.20, 2 Cu 2.31
S5 0.2500 0.7500 0.0100  2 Mn 2.12, 2 Cu 2.34
S6 0.2500 0.7500 0.4900  2 Mn 2.12, 2 Cu 2.34
S7 0.4951 0.5049 0.7500  2 Mn 2.15, 2 Cu 2.29
S8 0.4951 0.9951 0.7500  2 Mn 2.15, 2 Cu 2.29
S9 0.5049 0.0049 0.2500  2 Mn 2.15, 2 Cu 2.29
S10 0.5049 0.4951 0.2500  2 Mn 2.15, 2 Cu 2.29
S11 0.7500 0.2500 0.5100  2 Mn 2.12, 2 Cu 2.34
S12 0.7500 0.2500 0.9900  2 Mn 2.12, 2 Cu 2.34
S13 0.7500 0.7500 0.0495  2 Mn 2.20, 2 Cu 2.31
S14 0.7500 0.7500 0.5495  2 Mn 2.20, 2 Cu 2.31
S15 0.9951 0.0049 0.2500  2 Mn 2.15, 2 Cu 2.29
S16 0.9951 0.4951 0.2500  2 Mn 2.15, 2 Cu 2.29

Summary:
* space-group type: No. 137
* crystal system: tetragonal
* formation energy without anion corrections: -25 kJ per mole of atoms
* DOS(E_F): 10.434 states/eV/cell


(6)
# Rb12Ag3I5

A relaxed Rb12Ag3I5 crystal (PBE-GGA, Alexandria).

Lattice parameters (Å, degrees): 18.9192 18.9192 18.9192 109.47 109.47 109.47
Closest atoms and distances in Å follow each position.
Fractional coordinates of all 80 atoms:
Rb1 0.0551 0.2241 0.1365  2 I 3.55-3.70, 1 Ag 3.97
Rb2 0.0551 0.3310 0.9186  2 I 3.55-3.70, 1 Ag 3.97
Rb3 0.0814 0.6365 0.4124  2 I 3.55-3.70, 1 Ag 3.97
Rb4 0.0814 0.9449 0.6690  2 I 3.55-3.70, 1 Ag 3.97
Rb5 0.0876 0.7241 0.6690  2 I 3.55-3.70, 1 Ag 3.97
Rb6 0.0876 0.8635 0.4186  2 I 3.55-3.70, 1 Ag 3.97
Rb7 0.1365 0.0551 0.2241  2 I 3.55-3.70, 1 Ag 3.97
Rb8 0.1365 0.5814 0.9124  2 I 3.55-3.70, 1 Ag 3.97
Rb9 0.1690 0.2241 0.5876  2 I 3.55-3.70, 1 Ag 3.97
Rb10 0.1690 0.4449 0.5814  2 I 3.55-3.70, 1 Ag 3.97
Rb11 0.2241 0.1365 0.0551  2 I 3.55-3.70, 1 Ag 3.97
Rb12 0.2241 0.5876 0.1690  2 I 3.55-3.70, 1 Ag 3.97
Rb13 0.2759 0.3310 0.9124  2 I 3.55-3.70, 1 Ag 3.97
Rb14 0.2759 0.4449 0.3635  2 I 3.55-3.70, 1 Ag 3.97
Rb15 0.3310 0.9124 0.2759  2 I 3.55-3.70, 1 Ag 3.97
Rb16 0.3310 0.9186 0.0551  2 I 3.55-3.70, 1 Ag 3.97
Rb17 0.3635 0.2759 0.4449  2 I 3.55-3.70, 1 Ag 3.97
Rb18 0.3635 0.5876 0.9186  2 I 3.55-3.70, 1 Ag 3.97
Rb19 0.4124 0.0814 0.6365  2 I 3.55-3.70, 1 Ag 3.97
Rb20 0.4124 0.8310 0.7759  2 I 3.55-3.70, 1 Ag 3.97
Rb21 0.4186 0.0876 0.8635  2 I 3.55-3.70, 1 Ag 3.97
Rb22 0.4186 0.8310 0.5551  2 I 3.55-3.70, 1 Ag 3.97
Rb23 0.4449 0.3635 0.2759  2 I 3.55-3.70, 1 Ag 3.97
Rb24 0.4449 0.5814 0.1690  2 I 3.55-3.70, 1 Ag 3.97
Rb25 0.5551 0.4186 0.8310  2 I 3.55-3.70, 1 Ag 3.97
Rb26 0.5551 0.6365 0.7241  2 I 3.55-3.70, 1 Ag 3.97
Rb27 0.5814 0.1690 0.4449  2 I 3.55-3.70, 1 Ag 3.97
Rb28 0.5814 0.9124 0.1365  2 I 3.55-3.70, 1 Ag 3.97
Rb29 0.5876 0.1690 0.2241  2 I 3.55-3.70, 1 Ag 3.97
Rb30 0.5876 0.9186 0.3635  2 I 3.55-3.70, 1 Ag 3.97
Rb31 0.6365 0.4124 0.0814  2 I 3.55-3.70, 1 Ag 3.97
Rb32 0.6365 0.7241 0.5551  2 I 3.55-3.70, 1 Ag 3.97
Rb33 0.6690 0.0814 0.9449  2 I 3.55-3.70, 1 Ag 3.97
Rb34 0.6690 0.0876 0.7241  2 I 3.55-3.70, 1 Ag 3.97
Rb35 0.7241 0.5551 0.6365  2 I 3.55-3.70, 1 Ag 3.97
Rb36 0.7241 0.6690 0.0876  2 I 3.55-3.70, 1 Ag 3.97
Rb37 0.7759 0.4124 0.8310  2 I 3.55-3.70, 1 Ag 3.97
Rb38 0.7759 0.8635 0.9449  2 I 3.55-3.70, 1 Ag 3.97
Rb39 0.8310 0.5551 0.4186  2 I 3.55-3.70, 1 Ag 3.97
Rb40 0.8310 0.7759 0.4124  2 I 3.55-3.70, 1 Ag 3.97
Rb41 0.8635 0.4186 0.0876  2 I 3.55-3.70, 1 Ag 3.97
Rb42 0.8635 0.9449 0.7759  2 I 3.55-3.70, 1 Ag 3.97
Rb43 0.9124 0.1365 0.5814  2 I 3.55-3.70, 1 Ag 3.97
Rb44 0.9124 0.2759 0.3310  2 I 3.55-3.70, 1 Ag 3.97
Rb45 0.9186 0.0551 0.3310  2 I 3.55-3.70, 1 Ag 3.97
Rb46 0.9186 0.3635 0.5876  2 I 3.55-3.70, 1 Ag 3.97
Rb47 0.9449 0.6690 0.0814  2 I 3.55-3.70, 1 Ag 3.97
Rb48 0.9449 0.7759 0.8635  2 I 3.55-3.70, 1 Ag 3.97
Ag1 0.1250 0.2500 0.3750  8 Rb 3.97-4.06
Ag2 0.1250 0.3750 0.7500  8 Rb 3.97-4.06
Ag3 0.2500 0.3750 0.1250  8 Rb 3.97-4.06
Ag4 0.2500 0.8750 0.6250  8 Rb 3.97-4.06
Ag5 0.3750 0.1250 0.2500  8 Rb 3.97-4.06
Ag6 0.3750 0.7500 0.1250  8 Rb 3.97-4.06
Ag7 0.6250 0.2500 0.8750  8 Rb 3.97-4.06
Ag8 0.6250 0.8750 0.7500  8 Rb 3.97-4.06
Ag9 0.7500 0.1250 0.3750  8 Rb 3.97-4.06
Ag10 0.7500 0.6250 0.8750  8 Rb 3.97-4.06
Ag11 0.8750 0.6250 0.2500  8 Rb 3.97-4.06
Ag12 0.8750 0.7500 0.6250  8 Rb 3.97-4.06
I1 0.0000 0.0000 0.0000  6 Rb 3.70
I2 0.0000 0.0000 0.5000  6 Rb 3.70
I3 0.0000 0.5000 0.0000  6 Rb 3.70
I4 0.0000 0.5000 0.5000  6 Rb 3.70
I5 0.1250 0.7500 0.8750  4 Rb 3.55
I6 0.1250 0.8750 0.2500  4 Rb 3.55
I7 0.2500 0.1250 0.8750  4 Rb 3.55
I8 0.2500 0.6250 0.3750  4 Rb 3.55
I9 0.3750 0.2500 0.6250  4 Rb 3.55
I10 0.3750 0.6250 0.7500  4 Rb 3.55
I11 0.5000 0.0000 0.0000  6 Rb 3.70
I12 0.5000 0.0000 0.5000  6 Rb 3.70
I13 0.5000 0.5000 0.0000  6 Rb 3.70
I14 0.5000 0.5000 0.5000  6 Rb 3.70
I15 0.6250 0.3750 0.2500  4 Rb 3.55
I16 0.6250 0.7500 0.3750  4 Rb 3.55
I17 0.7500 0.3750 0.6250  4 Rb 3.55
I18 0.7500 0.8750 0.1250  4 Rb 3.55
I19 0.8750 0.1250 0.7500  4 Rb 3.55
I20 0.8750 0.2500 0.1250  4 Rb 3.55

Summary:
* space-group type: No. 230
* crystal system: cubic
* formation energy without anion corrections: -59 kJ per mole of atoms
* DOS(E_F): 39.058 states/eV/cell


(7)
# LiMgCd3In

A relaxed LiMgCd3In crystal (PBE-GGA, Alexandria).

Lattice parameters (Å, degrees): 8.1797 8.1797 9.8584 90.00 90.00 157.01
Closest atoms and distances in Å follow each position.
Fractional coordinates of all 12 atoms:
Li1 0.0000 0.0000 0.0000  6 Cd 3.04-3.08, 4 In 3.08, 2 Li 3.26
Li2 0.0000 0.0000 0.5000  6 Cd 3.04-3.08, 4 In 3.08, 2 Li 3.26
Mg1 0.2226 0.7774 0.7500  8 Cd 3.07-3.13, 2 In 3.16, 2 Mg 3.26
Mg2 0.7774 0.2226 0.2500  8 Cd 3.07-3.13, 2 In 3.16, 2 Mg 3.26
Cd1 0.1106 0.8894 0.2500  2 Li 3.04, 6 Cd 3.07-3.26, 2 In 3.10, 2 Mg 3.13
Cd2 0.3366 0.6634 0.9997  1 In 3.03, 3 Mg 3.07-3.11, 6 Cd 3.07-3.26, 2 Li 3.08
Cd3 0.3366 0.6634 0.5003  1 In 3.03, 3 Mg 3.07-3.11, 6 Cd 3.07-3.26, 2 Li 3.08
Cd4 0.6634 0.3366 0.0003  1 In 3.03, 3 Mg 3.07-3.11, 6 Cd 3.07-3.26, 2 Li 3.08
Cd5 0.6634 0.3366 0.4997  1 In 3.03, 3 Mg 3.07-3.11, 6 Cd 3.07-3.26, 2 Li 3.08
Cd6 0.8894 0.1106 0.7500  2 Li 3.04, 6 Cd 3.07-3.26, 2 In 3.10, 2 Mg 3.13
In1 0.4461 0.5539 0.2500  4 Cd 3.03-3.10, 4 Li 3.08, 2 Mg 3.16, 2 In 3.26
In2 0.5539 0.4461 0.7500  4 Cd 3.03-3.10, 4 Li 3.08, 2 Mg 3.16, 2 In 3.26

Summary:
* ΔE_f: -12.1 kJ per mole of atoms
* space-group type: No. 63
* crystal system: orthorhombic
* DOS(E_F): 3.254 states/eV/cell


(8)
# Nd4ZrP5

A relaxed Nd4ZrP5 crystal (PBE-GGA, Alexandria).

Lattice parameters (Å, degrees): 7.0553 7.0553 7.0553 99.67 99.67 131.62
Closest atoms and distances in Å follow each position.
Fractional coordinates of all 10 atoms:
Nd1 0.0965 0.3000 0.3965  6 P 2.87-2.99
Nd2 0.3000 0.9035 0.2035  6 P 2.87-2.99
Nd3 0.7000 0.0965 0.7965  6 P 2.87-2.99
Nd4 0.9035 0.7000 0.6035  6 P 2.87-2.99
Zr1 0.5000 0.5000 0.0000  6 P 2.73-2.89
P1 0.0000 0.0000 0.0000  4 Nd 2.87, 2 Zr 2.89
P2 0.2152 0.5956 0.8107  1 Zr 2.73, 5 Nd 2.89-2.99
P3 0.4044 0.2152 0.6196  1 Zr 2.73, 5 Nd 2.89-2.99
P4 0.5956 0.7848 0.3804  1 Zr 2.73, 5 Nd 2.89-2.99
P5 0.7848 0.4044 0.1893  1 Zr 2.73, 5 Nd 2.89-2.99

Summary:
* ΔE_f: -142.0 kJ per mole of atoms
* space-group type: No. 87
* crystal system: tetragonal
* DOS(E_F): 2.146 states/eV/cell


(9)
# SrLa2Sb

A relaxed SrLa2Sb crystal (PBE-GGA, Alexandria).

Lattice parameters (Å, degrees): 5.7408 5.7408 5.7408 60.00 60.00 60.00
Closest atoms and distances in Å follow each position.
Fractional coordinates of all 4 atoms:
Sr1 0.0000 0.0000 0.0000  4 La 3.52, 4 Sb 3.52
La1 0.5000 0.5000 0.5000  4 La 3.52, 4 Sb 3.52
La2 0.7500 0.7500 0.7500  4 Sr 3.52, 4 La 3.52
Sb1 0.2500 0.2500 0.2500  4 La 3.52, 4 Sr 3.52

Summary:
* space-group type: No. 216
* crystal system: cubic
* formation energy without anion corrections: -19 kJ per mole of atoms
* DOS(E_F): 6.820 states/eV/cell


(10)
# Nd8Tl2Pb

A relaxed Nd8Tl2Pb crystal (PBE-GGA, Alexandria).

Lattice parameters (Å, degrees): 10.2337 10.2337 7.1381 101.60 101.60 30.29
Closest atoms and distances in Å follow each position.
Fractional coordinates of all 11 atoms:
Nd1 0.0201 0.0201 0.2574  2 Pb 3.25, 1 Tl 3.26, 3 Nd 3.59-3.61
Nd2 0.2049 0.2049 0.8173  3 Tl 3.21-3.55, 2 Nd 3.57
Nd3 0.3396 0.3396 0.5173  1 Pb 3.20, 3 Tl 3.23-3.24, 2 Nd 3.57
Nd4 0.4089 0.4089 0.0338  1 Pb 3.44, 8 Nd 3.61-3.83, 2 Tl 3.63
Nd5 0.5911 0.5911 0.9662  1 Pb 3.44, 8 Nd 3.61-3.83, 2 Tl 3.63
Nd6 0.6604 0.6604 0.4827  1 Pb 3.20, 3 Tl 3.23-3.24, 2 Nd 3.57
Nd7 0.7951 0.7951 0.1827  3 Tl 3.21-3.55, 2 Nd 3.57
Nd8 0.9799 0.9799 0.7426  2 Pb 3.25, 1 Tl 3.26, 3 Nd 3.59-3.61
Tl1 0.1849 0.1849 0.2525  7 Nd 3.21-3.55
Tl2 0.8151 0.8151 0.7475  7 Nd 3.21-3.55
Pb1 0.5000 0.5000 0.5000  8 Nd 3.20-3.44

Summary:
* ΔE_f: -18.7 kJ per mole of atoms
* space-group type: No. 12
* crystal system: monoclinic
* DOS(E_F): 13.028 states/eV/cell


(11)
# RbHfSe2Br

A relaxed RbHfSe2Br crystal (PBE-GGA, Alexandria).

Lattice parameters (Å, degrees): 5.2263 5.2263 5.4887 90.00 90.00 90.00
Closest atoms and distances in Å follow each position.
Fractional coordinates of all 5 atoms:
Rb1 0.0000 0.0000 0.0000  4 Br 3.70, 8 Se 3.79
Hf1 0.5000 0.5000 0.5000  4 Se 2.61, 2 Br 2.74
Se1 0.0000 0.5000 0.5000  2 Hf 2.61
Se2 0.5000 0.0000 0.5000  2 Hf 2.61
Br1 0.5000 0.5000 0.0000  2 Hf 2.74

Summary:
* space-group type: No. 123
* crystal system: tetragonal
* formation energy without anion corrections: -122 kJ per mole of atoms
* DOS(E_F): 0.847 states/eV/cell
* E above lowest polymorph: 0.00 eV per formula unit


(12)
# RbTlClF

A relaxed RbTlClF crystal (PBE-GGA, Alexandria).

Lattice parameters (Å, degrees): 5.2990 5.2990 5.2990 60.00 60.00 60.00
Closest atoms and distances in Å follow each position.
Fractional coordinates of all 4 atoms:
Rb1 0.0000 0.0000 0.0000  4 Cl 3.24, 4 F 3.24
Tl1 0.5000 0.5000 0.5000  4 F 3.24, 4 Cl 3.24
Cl1 0.7500 0.7500 0.7500  4 Tl 3.24, 4 Rb 3.24
F1 0.2500 0.2500 0.2500  4 Tl 3.24, 4 Rb 3.24

Summary:
* space-group type: No. 216
* crystal system: cubic
* formation energy without anion corrections: -163 kJ per mole of atoms
* DOS(E_F): 0.000 states/eV/cell
* E above lowest polymorph: 0.43 eV per formula unit